Compound: Li2AuBr
Source: the Alexandria database
Functional: GGA-PBE
Structure: optimized geometry

SG   I-42d, No. 122
E above lowest polymorph   64.5 meV/atom

Lattice parameters (Å, degrees): 6.1522 6.1522 6.9988 63.93 63.93 90.00
Fractional coordinates of all 8 atoms:
Br  0.5000  0.5000  0.0000
Au  0.0000  0.0000  0.0000
Li  0.8750  0.8597  0.7500
Au  0.7500  0.2500  0.5000
Li  0.1403  0.6250  0.2500
Li  0.3750  0.3903  0.7500
Li  0.6097  0.1250  0.2500
Br  0.2500  0.7500  0.5000